# 1
A plane-wave DFT calculation with PBE was carried out for Tb5TlSb2 after structural relaxation.

Calculated values
total energy = -73.48 eV per cell
Fermi-level density of states = 16.8 states/eV per cell
formation energy (no corrections) = -0.372 eV per atom
symmetry = Cmcm

The structure in extended XYZ format:
```
16
Lattice="-5.542 1.473 -0.554 1.244 -5.258 3.531 1.012 8.356 12.087" Properties=species:S:1:pos:R:3 pbc="T T T"
Sb 0.293 5.651 12.081
Sb -3.292 1.296 6.418
Tb -3.161 4.407 13.373
Tb -1.104 -3.005 3.057
Tl -0.671 -0.645 4.989
Tl -2.616 5.216 10.074
Tb -2.588 4.223 7.158
Tb -0.699 0.347 7.905
Tb -3.465 1.898 9.744
Tb -2.182 7.575 12.006
Sb -3.580 -1.080 2.982
Tb -0.126 0.164 1.690
Tb -2.815 1.946 3.377
Sb 0.006 3.275 8.645
Tb 0.178 2.673 5.319
Tb -0.471 2.625 11.686
```

# 2
A plane-wave DFT calculation with PBE was carried out for LiMnS2Cl after structural relaxation.

Calculated values
total energy = -22.98 eV per cell
Fermi-level density of states = 5.0 states/eV per cell
formation energy (no corrections) = -0.360 eV per atom
energy above the most stable polymorph in this dataset = 0.000 eV/atom
symmetry = P4/mmm

The structure in extended XYZ format:
```
5
Lattice="-2.771 -0.835 3.201 2.518 -3.241 1.334 2.629 3.338 3.146" Properties=species:S:1:pos:R:3 pbc="T T T"
S -1.386 -0.417 1.601
Cl 1.315 1.669 1.573
Li 1.188 -0.369 3.841
Mn 0.000 0.000 0.000
S 1.259 -1.621 0.667
```

# 3
A plane-wave DFT calculation with PBE was carried out for Sr5Ag after structural relaxation.

Calculated values
total energy = -8.63 eV per cell
Fermi-level density of states = 5.5 states/eV per cell
energy above the most stable polymorph in this dataset = 0.524 eV/atom
symmetry = P6/mmm
formation enthalpy at 0 K = 0.438 eV/atom

The structure in extended XYZ format:
```
6
Lattice="3.818 -6.614 0.000 3.818 6.614 0.000 0.000 0.000 6.971" Properties=species:S:1:pos:R:3 pbc="T T T"
Sr 3.818 -2.205 0.000
Sr 3.818 0.000 3.485
Sr 1.909 3.307 3.485
Sr 1.909 -3.307 3.485
Ag 0.000 0.000 0.000
Sr 3.818 2.205 0.000
```

# 4
A plane-wave DFT calculation with PBE was carried out for BeRuCl2 after structural relaxation.

Calculated values
total energy = -14.70 eV per cell
Fermi-level density of states = 2.8 states/eV per cell
formation energy (no corrections) = 0.499 eV per atom
energy above the most stable polymorph in this dataset = 0.735 eV/atom
symmetry = P2/m

The structure in extended XYZ format:
```
4
Lattice="3.934 0.000 0.000 0.000 3.292 0.000 0.000 -0.248 4.860" Properties=species:S:1:pos:R:3 pbc="T T T"
Be 1.967 2.283 3.645
Ru 1.967 0.761 1.215
Cl 0.000 0.039 0.006
Cl 0.000 1.483 2.424
```

# 5
A plane-wave DFT calculation with PBE was carried out for LiCo3Ru after structural relaxation.

Calculated values
total energy = -26.34 eV per cell
Fermi-level density of states = 5.4 states/eV per cell
energy above the most stable polymorph in this dataset = 0.303 eV/atom
symmetry = Pm-3m
formation enthalpy at 0 K = 1.234 eV/atom

The structure in extended XYZ format:
```
5
Lattice="4.475 0.000 0.000 0.000 4.475 0.000 0.000 0.000 4.475" Properties=species:S:1:pos:R:3 pbc="T T T"
Li 2.238 2.238 2.238
Co 2.238 0.000 0.000
Co 0.000 2.238 0.000
Co 0.000 0.000 2.238
Ru 0.000 0.000 0.000
```

# 6
A plane-wave DFT calculation with PBE was carried out for TaMnOs2 after structural relaxation.

Calculated values
total energy = -43.13 eV per cell
Fermi-level density of states = 3.9 states/eV per cell
symmetry = Immm
formation enthalpy at 0 K = 0.087 eV/atom

The structure in extended XYZ format:
```
4
Lattice="-0.799 2.560 4.563 -4.895 0.400 1.972 4.017 -3.094 -1.517" Properties=species:S:1:pos:R:3 pbc="T T T"
Os -0.151 0.078 0.173
Ta 0.186 0.473 3.157
Mn -1.862 -0.607 1.861
Os -2.696 1.401 3.094
```

# 7
A plane-wave DFT calculation with PBE was carried out for SrTaW2 after structural relaxation.

Calculated values
total energy = -36.36 eV per cell
Fermi-level density of states = 2.1 states/eV per cell
energy above the most stable polymorph in this dataset = 0.076 eV/atom
symmetry = P2/m
formation enthalpy at 0 K = 0.771 eV/atom

The structure in extended XYZ format:
```
4
Lattice="-3.501 2.652 -1.082 -1.837 -2.167 0.632 -0.611 1.898 6.633" Properties=species:S:1:pos:R:3 pbc="T T T"
W -0.749 1.515 6.138
Sr -2.363 1.259 1.276
Ta -3.587 1.125 4.908
W -1.087 0.249 4.128
```

# 8
A plane-wave DFT calculation with PBE was carried out for LaNbO4 after structural relaxation.

Calculated values
total energy = -105.31 eV per cell
Fermi-level density of states = 0.0 states/eV per cell
formation energy (no corrections) = -2.971 eV per atom
symmetry = P2_1/c

The structure in extended XYZ format:
```
12
Lattice="-0.685 3.041 4.210 -5.573 -1.850 0.429 3.317 -3.732 3.236" Properties=species:S:1:pos:R:3 pbc="T T T"
O -2.744 -0.377 3.986
La -1.128 -2.791 1.832
O 1.319 -1.492 6.034
O -1.499 -2.280 6.439
O -1.442 -0.261 1.436
O -4.259 -1.048 1.841
O -0.197 -2.163 3.889
Nb 0.000 0.000 0.000
Nb -3.129 0.595 2.319
O -0.111 1.228 4.713
O -2.830 -3.768 3.162
La 1.316 -0.345 3.723
```

# 9
A plane-wave DFT calculation with PBE was carried out for LiCdHAu2 after structural relaxation.

Calculated values
total energy = -13.43 eV per cell
Fermi-level density of states = 1.5 states/eV per cell
symmetry = P4/mmm

The structure in extended XYZ format:
```
5
Lattice="4.226 0.000 0.000 0.000 4.226 0.000 0.000 0.000 4.114" Properties=species:S:1:pos:R:3 pbc="T T T"
Au 0.000 2.113 0.000
Cd 2.113 2.113 2.057
H 0.000 0.000 0.000
Au 2.113 0.000 0.000
Li 0.000 0.000 2.057
```

# 10
A plane-wave DFT calculation with PBE was carried out for ZnReBr2 after structural relaxation.

Calculated values
total energy = -14.48 eV per cell
Fermi-level density of states = 2.0 states/eV per cell
formation energy (no corrections) = 0.647 eV per atom
energy above the most stable polymorph in this dataset = 0.459 eV/atom
symmetry = R-3m

The structure in extended XYZ format:
```
4
Lattice="10.304 -0.021 -0.012 9.749 3.335 -0.012 9.749 1.611 2.920" Properties=species:S:1:pos:R:3 pbc="T T T"
Re 7.451 1.231 0.724
Zn 22.352 3.694 2.172
Br 15.722 2.599 1.528
Br 28.981 4.790 2.816
```

# 11
A plane-wave DFT calculation with PBE was carried out for CdNi2As after structural relaxation.

Calculated values
total energy = -17.18 eV per cell
Fermi-level density of states = 2.3 states/eV per cell
energy above the most stable polymorph in this dataset = 0.042 eV/atom
symmetry = Pmm2
formation enthalpy at 0 K = -0.013 eV/atom

The structure in extended XYZ format:
```
4
Lattice="3.500 0.000 0.000 0.000 3.038 -0.311 0.000 0.616 6.023" Properties=species:S:1:pos:R:3 pbc="T T T"
Ni 1.750 0.621 2.314
Cd 1.750 2.380 4.509
Ni 0.000 0.393 0.093
As 0.000 2.088 1.652
```

# 12
A plane-wave DFT calculation with PBE was carried out for Mg4BiPd7 after structural relaxation.

Calculated values
total energy = -51.03 eV per cell
Fermi-level density of states = 4.6 states/eV per cell
symmetry = C2/m
formation enthalpy at 0 K = -0.369 eV/atom

The structure in extended XYZ format:
```
12
Lattice="5.000 0.000 0.000 2.500 8.354 0.028 2.500 0.351 5.333" Properties=species:S:1:pos:R:3 pbc="T T T"
Mg 5.000 6.559 2.199
Mg 5.000 2.146 3.162
Pd 5.000 4.642 4.058
Pd 2.500 0.000 0.000
Pd 7.500 7.884 2.744
Pd 2.500 0.821 2.618
Bi 0.000 0.000 0.000
Pd 2.500 5.595 1.170
Mg 2.500 2.872 0.993
Pd 5.000 4.063 1.304
Pd 7.500 3.110 4.192
Mg 7.500 5.832 4.369
```

In order of appearance, theoretical density = 8.42 2.72 2.57 4.77 5.28 17.45 11.61 5.60 11.62 6.74 7.82 7.84 g/cm³.
In order of appearance, spin magnetization = 0.00 0.00 0.00 0.00 3.73 1.47 0.00 0.00 0.00 0.00 0.00 0.00 μB per formula unit.